No. 1
{"formula": "Tl2HgPt", "functional": "PBE", "state": "relaxed", "lattice_angstrom": [[-6.893, -1.938, 1.422], [-3.716, -1.444, 6.116], [4.115, 4.218, -4.309]], "species": ["Hg", "Pt", "Tl", "Tl"], "fractional_positions": [[0.436, 0.436, 0.000], [0.253, 0.753, 0.500], [0.059, 0.059, 0.000], [0.752, 0.252, 0.500]], "formation_energy_ev_per_atom": 0.0396, "de_polymorph_mev_per_atom": 45, "energy_ev_per_cell": -10.917, "total_magnetization_mub_per_atom": 0.00}

---

No. 2
{"formula": "TlHg2Pt2", "functional": "PBE", "state": "relaxed", "lattice_angstrom": [[-1.593, 3.663, -0.447], [-3.567, -1.653, -0.836], [-4.210, 1.118, 6.086]], "species": ["Tl", "Hg", "Hg", "Pt", "Pt"], "fractional_positions": [[0.000, 0.000, 0.000], [0.392, 0.392, 0.216], [0.608, 0.608, 0.784], [0.750, 0.250, 0.500], [0.250, 0.750, 0.500]], "formation_energy_ev_per_atom": 0.1240, "de_polymorph_mev_per_atom": 106, "energy_ev_per_cell": -14.431, "total_magnetization_mub_per_atom": 0.00}

---

No. 3
{"formula": "TlHg3Pt", "functional": "PBE", "state": "relaxed", "lattice_angstrom": [[5.323, 0.000, 0.000], [0.000, 5.323, 0.000], [0.000, 0.000, 5.323]], "species": ["Tl", "Hg", "Hg", "Hg", "Pt"], "fractional_positions": [[0.500, 0.500, 0.500], [0.000, 0.500, 0.000], [0.000, 0.000, 0.500], [0.500, 0.000, 0.000], [0.000, 0.000, 0.000]], "formation_energy_ev_per_atom": -0.0083, "de_polymorph_mev_per_atom": 0, "energy_ev_per_cell": -9.354, "total_magnetization_mub_per_atom": 0.00}